[1]
KInP2O: optimized geometry, PBE.

Calculated values
E above lowest polymorph ... 0.000 eV per atom
E_tot ... -3.659 eV/atom
Formation energy (no corrections) ... 0.26 eV per atom
Spin magnetization ... 2.35 μB per formula unit

Cell lengths 5.3703, 5.3703, 4.3223 Å; angles 90.00, 90.00, 90.00 degrees
Last column: nearest neighbours and their distance in Å.
Space group P4/mmm (No. 123)
Inequivalent atoms, fractional coordinates:
K: 0.0000 0.0000 0.0000  8 P 3.45, 4 O 3.80
In: 0.5000 0.5000 0.5000  2 O 2.16
P: 0.0000 0.5000 0.5000  2 In 2.69
O: 0.5000 0.5000 0.0000  2 In 2.16

=====

[2]
K3InP2O8: optimized geometry, PBE.

Calculated values
E above lowest polymorph ... 0.000 eV per atom
E_tot ... -6.215 eV/atom
Formation energy (no corrections) ... -2.18 eV per atom
Spin magnetization ... 0.05 μB per formula unit

Cell lengths 9.8003, 9.8128, 9.9261 Å; angles 89.17, 89.70, 71.01 degrees
Last column: nearest neighbours and their distance in Å.
Space group P1 (No. 1)
Inequivalent atoms, fractional coordinates:
K: 0.0000 0.0000 0.0000  6 O 2.76-2.92
K: 0.0011 0.4805 0.5532  6 O 2.68-2.97
K: 0.2028 0.6380 0.8353  4 O 2.61-2.85
K: 0.2355 0.2502 0.0283  5 O 2.70-2.80
K: 0.2613 0.7516 0.4627  6 O 2.70-3.00
K: 0.3897 0.4158 0.3380  4 O 2.67-2.84
K: 0.4786 0.8867 0.1265  1 O 2.60
K: 0.5066 0.4893 0.0064  6 O 2.72-2.91
K: 0.5206 0.9920 0.4543  5 O 2.67-2.79
K: 0.5729 0.5836 0.6466  4 O 2.63-2.83
K: 0.7816 0.2109 0.4887  6 O 2.75-2.91
K: 0.7874 0.7286 0.9211  4 O 2.59-2.87
In: 0.1523 0.0932 0.6611  6 O 2.13-2.30
In: 0.6213 0.1280 0.8213  6 O 2.14-2.30
In: 0.8704 0.3725 0.1623  6 O 2.15-2.29
In: 0.8914 0.8395 0.3213  6 O 2.15-2.27
P: 0.0812 0.6057 0.1722  4 O 1.53-1.59
P: 0.1180 0.0683 0.3205  4 O 1.53-1.56
P: 0.3767 0.3152 0.6756  4 O 1.54-1.58
P: 0.3961 0.9061 0.8071  4 O 1.54-1.58
P: 0.6468 0.1479 0.1624  4 O 1.53-1.57
P: 0.6809 0.6080 0.3089  4 O 1.53-1.58
P: 0.8450 0.3400 0.8188  4 O 1.52-1.57
P: 0.9262 0.8768 0.6631  4 O 1.53-1.57
O: 0.0282 0.4788 0.1314  1 P 1.56
O: 0.0476 0.1802 0.2068  1 P 1.56
O: 0.0571 0.9407 0.3094  1 P 1.56
O: 0.0728 0.9096 0.6627  1 P 1.57
O: 0.0754 0.1456 0.4583  1 P 1.56
O: 0.0747 0.6265 0.3306  1 P 1.59
O: 0.2346 0.5749 0.1167  1 P 1.53
O: 0.2460 0.2651 0.6393  1 P 1.56
O: 0.2518 0.0158 0.8643  1 P 1.58
O: 0.2819 0.0066 0.3035  1 P 1.53
O: 0.3488 0.4687 0.6183  1 P 1.54
O: 0.3727 0.9136 0.6499  1 P 1.58
O: 0.4021 0.3080 0.8328  1 P 1.58
O: 0.4248 0.7526 0.8639  1 P 1.54
O: 0.4828 0.1874 0.1775  1 P 1.53
O: 0.5214 0.2059 0.6176  1 P 1.58
O: 0.5271 0.9550 0.8478  1 P 1.57
O: 0.5312 0.6230 0.3668  1 P 1.53
O: 0.6878 0.5895 0.1507  1 P 1.58
O: 0.6891 0.2874 0.1813  1 P 1.57
O: 0.6961 0.3125 0.8112  1 P 1.57
O: 0.7001 0.0758 0.0243  1 P 1.56
O: 0.7177 0.7471 0.3443  1 P 1.57
O: 0.7230 0.0377 0.2756  1 P 1.56
O: 0.7996 0.4682 0.3649  1 P 1.58
O: 0.8156 0.4989 0.7840  1 P 1.52
O: 0.8249 0.9726 0.7714  1 P 1.56
O: 0.8484 0.9162 0.5241  1 P 1.56
O: 0.9152 0.2953 0.9604  1 P 1.56
O: 0.9482 0.2435 0.7121  1 P 1.56
O: 0.9621 0.7173 0.6997  1 P 1.53
O: 0.9713 0.7522 0.1170  1 P 1.58

=====

[3]
K3InP2O8: optimized geometry, PBE.

Calculated values
E above lowest polymorph ... 0.000 eV per atom
E_tot ... -6.215 eV/atom
Formation energy (no corrections) ... -2.18 eV per atom
Spin magnetization ... 0.00 μB per formula unit

Cell lengths 15.9028, 11.4543, 9.8905 Å; angles 90.00, 91.34, 90.00 degrees
Last column: nearest neighbours and their distance in Å.
Space group C2/c (No. 15)
Inequivalent atoms, fractional coordinates:
K: 0.0000 0.1033 0.2500  6 O 2.75-2.85
K: 0.0000 0.3664 0.7500  6 O 2.72-2.86
K: 0.0897 0.3983 0.1011  4 O 2.60-2.83
K: 0.2416 0.1292 0.1912  6 O 2.67-2.94
In: 0.1272 0.1402 0.5796  6 O 2.13-2.29
P: 0.0961 0.1372 0.9236  4 O 1.53-1.57
P: 0.1510 0.3549 0.4348  4 O 1.54-1.58
O: 0.0053 0.1898 0.9334  1 P 1.57
O: 0.0848 0.4430 0.3812  1 P 1.54
O: 0.1051 0.0392 0.0325  1 P 1.56
O: 0.1098 0.0805 0.7827  1 P 1.56
O: 0.1350 0.2283 0.3758  1 P 1.58
O: 0.1455 0.3386 0.5930  1 P 1.58
O: 0.1575 0.2369 0.9543  1 P 1.53
O: 0.2397 0.3993 0.3948  1 P 1.56

=====

[4]
KPaInO6: optimized geometry, PBE.

Calculated values
E_tot ... -6.507 eV/atom
Formation energy (no corrections) ... -1.72 eV per atom
Spin magnetization ... 3.01 μB per formula unit

Cell lengths 6.0213, 6.0213, 4.7679 Å; angles 90.00, 90.00, 120.00 degrees
Last column: nearest neighbours and their distance in Å.
Space group P312 (No. 149)
Inequivalent atoms, fractional coordinates:
K: 0.0000 0.0000 0.0000  6 O 2.74
Pa: 0.6667 0.3333 0.5000  6 O 2.17
In: 0.3333 0.6667 0.0000  6 O 2.19
O: 0.4101 0.0021 0.2502  1 Pa 2.17, 1 In 2.19

=====

[5]
K2PaIn2O6: optimized geometry, PBE.

Calculated values
E_tot ... -6.318 eV/atom
Formation energy (no corrections) ... -2.05 eV per atom
Spin magnetization ... 0.88 μB per formula unit

Cell lengths 10.6428, 6.4118, 7.0741 Å; angles 90.00, 120.02, 90.00 degrees
Last column: nearest neighbours and their distance in Å.
Space group C2/m (No. 12)
Inequivalent atoms, fractional coordinates:
K: 0.2033 0.0000 0.1481  5 O 2.87-2.88
Pa: 0.0000 0.0000 0.5000  6 O 2.17-2.20
In: 0.0572 0.5000 0.2363  3 O 2.04-2.07
O: 0.0531 0.2380 0.7526  1 In 2.07, 1 Pa 2.20
O: 0.2226 0.0000 0.5686  1 In 2.04, 1 Pa 2.17

=====

[6]
K3Pa2InO9: optimized geometry, PBE.

Calculated values
E_tot ... -7.060 eV/atom
Formation energy (no corrections) ... -2.42 eV per atom
Spin magnetization ... 1.49 μB per formula unit

Cell lengths 6.1384, 6.1384, 7.4506 Å; angles 90.00, 90.00, 120.00 degrees
Last column: nearest neighbours and their distance in Å.
Space group P-3m1 (No. 164)
Inequivalent atoms, fractional coordinates:
K: 0.0000 0.0000 0.0000  12 O 3.06-3.07
K: 0.3333 0.6667 0.6619  12 O 3.01-3.08
Pa: 0.3333 0.6667 0.1753  6 O 2.11-2.20
In: 0.0000 0.0000 0.5000  6 O 2.19
O: 0.0000 0.5000 0.0000  2 Pa 2.20
O: 0.1688 0.3375 0.3325  1 Pa 2.11, 1 In 2.19

=====

[7]
K2PaInO5: optimized geometry, PBE.

Calculated values
E_tot ... -6.466 eV/atom
Formation energy (no corrections) ... -2.11 eV per atom
Spin magnetization ... 0.06 μB per formula unit

Cell lengths 4.2824, 4.2824, 8.6111 Å; angles 90.00, 90.00, 90.00 degrees
Last column: nearest neighbours and their distance in Å.
Space group P4/mmm (No. 123)
Inequivalent atoms, fractional coordinates:
K: 0.0000 0.0000 0.2235  1 O 2.38
Pa: 0.5000 0.5000 0.0000  6 O 2.14-2.22
In: 0.5000 0.5000 0.5000  2 O 2.08
O: 0.0000 0.0000 0.5000  2 K 2.38
O: 0.0000 0.5000 0.0000  2 Pa 2.14
O: 0.5000 0.5000 0.2580  1 In 2.08, 1 Pa 2.22

=====

[8]
K3PaIn2O8: optimized geometry, PBE.

Calculated values
E_tot ... -5.927 eV/atom
Formation energy (no corrections) ... -1.79 eV per atom
Spin magnetization ... 2.14 μB per formula unit

Cell lengths 6.2055, 6.2055, 8.0086 Å; angles 90.00, 90.00, 120.00 degrees
Last column: nearest neighbours and their distance in Å.
Space group P-3m1 (No. 164)
Inequivalent atoms, fractional coordinates:
K: 0.0000 0.0000 0.0000  12 O 3.23-3.59
K: 0.3333 0.6667 0.6480  1 O 2.57
Pa: 0.0000 0.0000 0.5000  6 O 2.16
In: 0.3333 0.6667 0.2214  4 O 2.02-2.08
O: 0.1615 0.3230 0.3397  1 In 2.08, 1 Pa 2.16
O: 0.3333 0.6667 0.9692  1 In 2.02

=====

[9]
KPaInO5: optimized geometry, PBE.

Calculated values
E_tot ... -7.019 eV/atom
Formation energy (no corrections) ... -2.25 eV per atom
Spin magnetization ... 0.93 μB per formula unit

Cell lengths 7.7098, 10.3168, 8.3610 Å; angles 90.00, 115.27, 90.00 degrees
Last column: nearest neighbours and their distance in Å.
Space group C2/c (No. 15)
Inequivalent atoms, fractional coordinates:
K: 0.0000 0.1743 0.2500  7 O 2.79-3.01
Pa: 0.0000 0.5000 0.0000  6 O 2.13-2.17
In: 0.0000 0.1886 0.7500  4 O 2.07
O: 0.0000 0.4451 0.2500  2 Pa 2.17
O: 0.0877 0.3059 0.5977  1 In 2.07, 1 Pa 2.16
O: 0.2080 0.0581 0.9041  1 In 2.07, 1 Pa 2.13

=====

[10]
KPa2InO8: optimized geometry, PBE.

Calculated values
E_tot ... -7.621 eV/atom
Formation energy (no corrections) ... -2.41 eV per atom
Spin magnetization ... 1.31 μB per formula unit

Cell lengths 5.1943, 7.2693, 5.2066 Å; angles 90.00, 93.19, 90.00 degrees
Last column: nearest neighbours and their distance in Å.
Space group P2/m (No. 10)
Inequivalent atoms, fractional coordinates:
K: 0.0000 0.0000 0.0000  6 O 2.53-2.61
Pa: 0.5000 0.2470 0.5000  4 O 2.06-2.19
In: 0.0000 0.5000 0.0000  6 O 2.17-2.33
O: 0.2135 0.2897 0.2177  1 Pa 2.06, 1 In 2.17
O: 0.3100 0.5000 0.6931  1 In 2.33, 2 Pa 2.34
O: 0.3358 0.0000 0.6673  2 Pa 2.19

=====

[11]
KPaInO4: optimized geometry, PBE.

Calculated values
E_tot ... -7.133 eV/atom
Formation energy (no corrections) ... -2.40 eV per atom
Spin magnetization ... 0.00 μB per formula unit

Cell lengths 7.1199, 7.1347, 10.4688 Å; angles 90.00, 90.00, 90.00 degrees
Last column: nearest neighbours and their distance in Å.
Space group Imma (No. 74)
Inequivalent atoms, fractional coordinates:
K: 0.0000 0.2500 0.1398  4 O 2.63-2.64
Pa: 0.0000 0.0000 0.5000  6 O 2.17-2.23
In: 0.2500 0.2500 0.7500  4 O 2.37
O: 0.0000 0.0407 0.7055  1 Pa 2.17, 2 In 2.37
O: 0.1888 0.2500 0.4970  2 Pa 2.23

=====

[12]
K4In3PbO8: optimized geometry, PBE.

Calculated values
E_tot ... -4.950 eV/atom
Formation energy (no corrections) ... -1.45 eV per atom
Spin magnetization ... 0.00 μB per formula unit

Cell lengths 6.8524, 6.8524, 18.6239 Å; angles 90.00, 90.00, 120.00 degrees
Last column: nearest neighbours and their distance in Å.
Space group R-3m (No. 166, hexagonal axes)
Inequivalent atoms, fractional coordinates:
K: 0.0000 0.0000 0.0000  6 O 2.70
K: 0.0000 0.5000 0.0000  6 O 2.77-2.79
In: 0.0000 0.5000 0.5000  6 O 2.27-2.29
Pb: 0.0000 0.0000 0.5000  6 O 2.37
O: 0.0000 0.0000 0.2288  3 In 2.29
O: 0.0142 0.5071 0.7701  2 In 2.27, 1 Pb 2.37

=====

[13]
K2In2PbO6: optimized geometry, PBE.

Calculated values
E_tot ... -5.170 eV/atom
Formation energy (no corrections) ... -1.43 eV per atom
Spin magnetization ... 0.00 μB per formula unit

Cell lengths 5.7921, 9.9988, 6.6638 Å; angles 90.00, 107.22, 90.00 degrees
Last column: nearest neighbours and their distance in Å.
Space group C2/m (No. 12)
Inequivalent atoms, fractional coordinates:
K: 0.0000 0.1690 0.0000  6 O 2.78-2.81
In: 0.0000 0.3346 0.5000  6 O 2.23-2.26
Pb: 0.0000 0.0000 0.5000  6 O 2.22-2.25
O: 0.2250 0.1690 0.6797  2 In 2.23-2.26, 1 Pb 2.25
O: 0.2307 0.5000 0.6784  1 Pb 2.22, 2 In 2.23

=====

[14]
K2InPbO4: optimized geometry, PBE.

Calculated values
E_tot ... -4.896 eV/atom
Formation energy (no corrections) ... -1.34 eV per atom
Spin magnetization ... 0.00 μB per formula unit

Cell lengths 6.0406, 3.4997, 6.5331 Å; angles 90.00, 107.98, 90.00 degrees
Last column: nearest neighbours and their distance in Å.
Space group P2/m (No. 10)
Inequivalent atoms, fractional coordinates:
K: 0.0000 0.0000 0.0000  6 O 2.73-2.75
K: 0.5000 0.5000 0.0000  6 O 2.82-2.84
In: 0.0000 0.5000 0.5000  6 O 2.27-2.30
Pb: 0.5000 0.0000 0.5000  6 O 2.39-2.40
O: 0.2165 0.0000 0.6898  2 In 2.30, 1 Pb 2.40
O: 0.2539 0.5000 0.3070  1 In 2.27, 2 Pb 2.39

=====

[15]
K2InPdO4: optimized geometry, PBE.

Calculated values
E_tot ... -4.888 eV/atom
Formation energy (no corrections) ... -1.14 eV per atom
Spin magnetization ... 1.00 μB per formula unit

Cell lengths 5.9846, 3.2454, 6.4407 Å; angles 90.00, 109.87, 90.00 degrees
Last column: nearest neighbours and their distance in Å.
Space group P2/m (No. 10)
Inequivalent atoms, fractional coordinates:
K: 0.0000 0.0000 0.0000  6 O 2.65-2.77
K: 0.5000 0.5000 0.0000  6 O 2.66-2.82
In: 0.0000 0.5000 0.5000  6 O 2.19-2.34
Pd: 0.5000 0.0000 0.5000  4 O 2.12
O: 0.2129 0.0000 0.7002  2 In 2.19
O: 0.2886 0.5000 0.3305  2 Pd 2.12, 1 In 2.34

=====

[16]
K3InPd2O6: optimized geometry, PBE.

Calculated values
E_tot ... -4.852 eV/atom
Formation energy (no corrections) ... -1.00 eV per atom
Spin magnetization ... 0.00 μB per formula unit

Cell lengths 5.6612, 10.3453, 6.1952 Å; angles 90.00, 107.33, 90.00 degrees
Last column: nearest neighbours and their distance in Å.
Space group C2/m (No. 12)
Inequivalent atoms, fractional coordinates:
K: 0.0000 0.0000 0.0000  6 O 2.65-2.73
K: 0.0000 0.3301 0.0000  6 O 2.69-2.79
In: 0.0000 0.5000 0.5000  6 O 2.19-2.27
Pd: 0.0000 0.1677 0.5000  6 O 2.09-2.25
O: 0.2151 0.0000 0.6749  1 In 2.19, 2 Pd 2.21
O: 0.2391 0.3320 0.6774  2 Pd 2.09-2.25, 1 In 2.27

=====

[17]
K3InPd3O8: optimized geometry, PBE.

Calculated values
E_tot ... -5.006 eV/atom
Formation energy (no corrections) ... -0.92 eV per atom
Spin magnetization ... 0.00 μB per formula unit

Cell lengths 11.7798, 6.3042, 6.9000 Å; angles 90.00, 117.18, 90.00 degrees
Last column: nearest neighbours and their distance in Å.
Space group C2/m (No. 12)
Inequivalent atoms, fractional coordinates:
K: 0.0000 0.0000 0.0000  6 O 2.57-2.77
K: 0.2500 0.2500 0.0000  4 O 2.65-2.66
In: 0.0000 0.0000 0.5000  6 O 2.20-2.34
Pd: 0.0000 0.5000 0.5000  4 O 2.04
Pd: 0.2500 0.2500 0.5000  6 O 2.06-2.10
O: 0.0500 0.2672 0.3488  2 Pd 2.04-2.10, 1 In 2.20
O: 0.2228 0.0000 0.6733  2 Pd 2.09, 1 In 2.34
O: 0.2335 0.0000 0.2970  2 Pd 2.06